Computed, not measured: a relaxed structure of Cu2P7 at the GGA-PBE level of DFT.

abc: 7.3365 7.3365 14.7081
angles: 105.21 105.21 59.66
Fractional positions:
Cu  0.0343  0.0343  0.3544
Cu  0.1566  0.1566  0.9666
Cu  0.2821  0.2821  0.5733
Cu  0.3830  0.3830  0.2062
Cu  0.6170  0.6170  0.7938
Cu  0.7179  0.7179  0.4267
Cu  0.8434  0.8434  0.0334
Cu  0.9657  0.9657  0.6456
P  0.0292  0.5601  0.2238
P  0.0410  0.5562  0.3773
P  0.1050  0.1050  0.7959
P  0.1728  0.6424  0.9816
P  0.2241  0.2241  0.4072
P  0.2244  0.5374  0.8301
P  0.2352  0.7271  0.4216
P  0.2729  0.7648  0.5784
P  0.3467  0.3467  0.0438
P  0.3576  0.8272  0.0184
P  0.4399  0.9708  0.7762
P  0.4438  0.9590  0.6227
P  0.4626  0.7756  0.1699
P  0.4724  0.4724  0.6450
P  0.5276  0.5276  0.3550
P  0.5374  0.2244  0.8301
P  0.5562  0.0410  0.3773
P  0.5601  0.0292  0.2238
P  0.6424  0.1728  0.9816
P  0.6533  0.6533  0.9562
P  0.7271  0.2352  0.4216
P  0.7648  0.2729  0.5784
P  0.7756  0.4626  0.1699
P  0.7759  0.7759  0.5928
P  0.8272  0.3576  0.0184
P  0.8950  0.8950  0.2041
P  0.9590  0.4438  0.6227
P  0.9708  0.4399  0.7762

Values from the calculation:
Spin magnetization = 0.0 μB per formula unit
Crystal system = monoclinic
Formation enthalpy at 0 K = -0.10 eV per atom